Record 1
A plane-wave DFT calculation with PBE was carried out for a geometry-optimized Rb2SmAs2S6 structure.

abc: 7.076 7.076 8.571
angles: 114.24 114.24 61.13
Fractional coordinates of all 11 atoms:
Rb 0.204 0.204 0.186
Rb 0.796 0.796 0.814
Sm 0.000 0.000 0.500
As 0.452 0.452 0.810
As 0.548 0.548 0.190
S 0.200 0.703 0.218
S 0.251 0.251 0.605
S 0.297 0.800 0.782
S 0.703 0.200 0.218
S 0.749 0.749 0.395
S 0.800 0.297 0.782

Space-group type ... No. 12
Mass density ... 3.34 g cm⁻³
Magnetization ... 0.000 Bohr magnetons per cell
Total DFT energy (no corrections) ... -49.85 eV per cell
E_form (uncorrected) ... -80.1 kJ/mol of atoms

---

Record 2
A plane-wave DFT calculation with PBE was carried out for a geometry-optimized SrTaFe2 structure.

abc: 3.689 6.431 6.431
angles: 32.85 90.00 90.00
Fractional coordinates of all 4 atoms:
Sr 0.000 0.000 0.000
Ta 0.500 0.722 0.722
Fe 0.000 0.257 0.257
Fe 0.500 0.360 0.360

Space-group type ... No. 38
Mass density ... 7.63 g cm⁻³
Polymorph energy (0 for the lowest one) ... 169 meV per atom
Magnetization ... 2.077 Bohr magnetons per cell
Total DFT energy (no corrections) ... -28.47 eV per cell

---

Record 3
A plane-wave DFT calculation with PBE was carried out for a geometry-optimized TiCd2As structure.

abc: 6.297 6.297 6.297
angles: 100.05 100.05 130.61
Fractional coordinates of all 8 atoms:
Ti 0.000 0.000 0.000
Ti 0.750 0.250 0.500
Cd 0.157 0.625 0.032
Cd 0.375 0.407 0.532
Cd 0.593 0.125 0.968
Cd 0.875 0.843 0.468
As 0.250 0.750 0.500
As 0.500 0.500 0.000

Space-group type ... No. 122
Mass density ... 6.70 g cm⁻³
Magnetization ... 1.804 Bohr magnetons per cell
Total DFT energy (no corrections) ... -28.10 eV per cell